A geometry-optimized Fe2Ni2Mo structure, computed with GGA-PBE.

The structure in POSCAR format:
```
Fe2Ni2Mo
1.0
-6.497 -2.355 -0.665
2.115 -4.454 -4.888
0.450 -1.747 1.787
Mo Fe Ni
2 4 4
Cartesian
0.000 0.000 0.000 Mo
-2.191 -3.405 -2.777 Mo
-3.778 -2.000 -1.004 Fe
-4.399 -4.836 -3.620 Fe
-0.604 -4.809 -4.549 Fe
0.017 -1.973 -1.934 Fe
-4.447 -4.263 -1.243 Ni
-1.516 -2.419 -0.179 Ni
-2.417 -6.138 -3.588 Ni
0.515 -4.293 -2.523 Ni
```

Computed properties:
Symmetry: P4/mbm
Crystal system: tetragonal



A geometry-optimized Fe2Ni15Mo2 structure, computed with GGA-PBE.

The structure in POSCAR format:
```
Fe2Ni15Mo2
1.0
1.355 -5.279 2.857
2.615 -2.985 -4.703
5.904 1.121 1.324
Ni Mo Fe
15 2 2
Cartesian
2.952 0.561 0.662 Ni
0.677 -2.639 1.428 Ni
1.752 -4.555 0.472 Ni
4.713 -3.948 -2.498 Ni
4.866 -0.174 -0.577 Ni
4.092 -5.078 1.227 Ni
6.333 -1.925 0.472 Ni
2.790 -3.260 2.373 Ni
5.161 -3.195 1.977 Ni
2.217 -3.709 -2.318 Ni
3.653 -1.689 -2.801 Ni
4.468 -0.898 1.808 Ni
5.782 -2.065 -1.748 Ni
1.308 -1.492 -2.351 Ni
3.541 -5.218 -0.993 Ni
6.856 -4.959 -0.362 Mo
3.018 -2.183 -0.159 Mo
8.917 -6.451 -0.471 Fe
0.957 -0.692 -0.051 Fe
```

Computed properties:
Symmetry: R-3m
Crystal system: trigonal



A geometry-optimized FeNi2Mo structure, computed with GGA-PBE.

The structure in POSCAR format:
```
FeNi2Mo
1.0
4.547 0.002 0.000
1.742 4.200 0.000
-3.145 -2.101 2.525
Fe Mo Ni
1 1 2
Cartesian
0.871 2.100 1.262 Fe
2.274 0.001 1.262 Mo
0.000 0.000 0.000 Ni
3.145 2.101 0.000 Ni
```

Computed properties:
Symmetry: I4/mmm
Crystal system: tetragonal



Q: Which formation energy values were calculated for the entries above? A: 0.14, 0.15, -0.01, in eV per atom.
Q: Which DFT total energy values were calculated for the entries above? A: -77.26, -122.39, -30.89, in eV per cell.